# Pm4Cd3Ag | Alexandria via LeMat-Bulk | PBE | relaxed
data_Pm4Cd3Ag
_cell_length_a 3.599
_cell_length_b 4.978
_cell_length_c 12.385
_cell_angle_alpha 90.00
_cell_angle_beta 90.00
_cell_angle_gamma 90.00
_symmetry_space_group_name_H-M 'P 1'
_symmetry_Int_Tables_number 1
_symmetry_space_group_name_Hall 'P 1'
loop_
_atom_site_label
_atom_site_type_symbol
_atom_site_fract_x
_atom_site_fract_y
_atom_site_fract_z
Cd1 Cd 0.000 0.500 0.570
Cd2 Cd 0.500 0.000 0.932
Cd3 Cd 0.000 0.000 0.428
Ag1 Ag 0.500 0.500 0.071
Pm1 Pm 0.500 0.000 0.661
Pm2 Pm 0.500 0.500 0.338
Pm3 Pm 0.000 0.500 0.847
Pm4 Pm 0.000 0.000 0.153
# ΔE to the lowest computed polymorph ... 0.048 eV/atom
# Space-group type ... Pmm2 (25)
# Formation energy from the elements ... -0.256 eV per atom
# DOS at the Fermi energy ... 8.120 states/eV/cell
# Calculated total energy ... -0.1224 hartree per atom

***

# TmSeN | Alexandria via LeMat-Bulk | PBE | relaxed
data_TmSeN
_cell_length_a 3.962
_cell_length_b 8.101
_cell_length_c 8.379
_cell_angle_alpha 76.15
_cell_angle_beta 90.00
_cell_angle_gamma 90.00
_symmetry_space_group_name_H-M 'P 1'
_symmetry_Int_Tables_number 1
_symmetry_space_group_name_Hall 'P 1'
loop_
_atom_site_label
_atom_site_type_symbol
_atom_site_fract_x
_atom_site_fract_y
_atom_site_fract_z
Tm1 Tm 0.255 0.082 0.670
Tm2 Tm 0.755 0.418 0.330
Tm3 Tm 0.245 0.582 0.670
Tm4 Tm 0.745 0.918 0.330
Se1 Se 0.249 0.171 0.318
Se2 Se 0.751 0.829 0.682
Se3 Se 0.251 0.671 0.318
Se4 Se 0.749 0.329 0.682
N1 N 0.073 0.515 0.938
N2 N 0.573 0.985 0.062
N3 N 0.427 0.015 0.938
N4 N 0.927 0.485 0.062
# ΔE to the lowest computed polymorph ... 0.000 eV/atom
# Space-group type ... P2_1/c (14)
# DOS at the Fermi energy ... 4.687 states/eV/cell
# Calculated total energy ... -0.2416 hartree per atom
# ΔE_f (raw) ... -1.15 eV/atom

***

# Y2Ge3Pd5 | Alexandria via LeMat-Bulk | PBE | relaxed
data_Y2Ge3Pd5
_cell_length_a 5.810
_cell_length_b 8.496
_cell_length_c 8.496
_cell_angle_alpha 83.73
_cell_angle_beta 70.01
_cell_angle_gamma 70.01
_symmetry_space_group_name_H-M 'P 1'
_symmetry_Int_Tables_number 1
_symmetry_space_group_name_Hall 'P 1'
loop_
_atom_site_label
_atom_site_type_symbol
_atom_site_fract_x
_atom_site_fract_y
_atom_site_fract_z
Pd1 Pd 0.518 0.232 0.232
Pd2 Pd 0.095 0.070 0.740
Pd3 Pd 0.750 0.500 0.500
Pd4 Pd 0.905 0.930 0.260
Pd5 Pd 0.250 0.500 0.500
Pd6 Pd 0.018 0.232 0.232
Pd7 Pd 0.982 0.768 0.768
Pd8 Pd 0.482 0.768 0.768
Pd9 Pd 0.595 0.740 0.070
Pd10 Pd 0.405 0.260 0.930
Ge1 Ge 0.637 0.486 0.241
Ge2 Ge 0.863 0.759 0.514
Ge3 Ge 0.750 0.000 0.000
Ge4 Ge 0.250 0.000 0.000
Ge5 Ge 0.137 0.241 0.486
Ge6 Ge 0.363 0.514 0.759
Y1 Y 0.864 0.414 0.858
Y2 Y 0.136 0.586 0.142
Y3 Y 0.364 0.858 0.414
Y4 Y 0.636 0.142 0.586
# ΔE to the lowest computed polymorph ... 0.016 eV/atom
# Space-group type ... Ibam (72)
# Formation energy from the elements ... -0.776 eV per atom
# DOS at the Fermi energy ... 13.299 states/eV/cell
# Calculated total energy ... -0.2223 hartree per atom

***

# Sr3In2Bi4 | Alexandria via LeMat-Bulk | PBE | relaxed
data_Sr3In2Bi4
_cell_length_a 4.749
_cell_length_b 7.843
_cell_length_c 10.816
_cell_angle_alpha 120.79
_cell_angle_beta 90.00
_cell_angle_gamma 107.62
_symmetry_space_group_name_H-M 'P 1'
_symmetry_Int_Tables_number 1
_symmetry_space_group_name_Hall 'P 1'
loop_
_atom_site_label
_atom_site_type_symbol
_atom_site_fract_x
_atom_site_fract_y
_atom_site_fract_z
Bi1 Bi 0.917 0.833 0.591
Bi2 Bi 0.083 0.167 0.409
Bi3 Bi 0.692 0.384 0.073
Bi4 Bi 0.308 0.616 0.927
Sr1 Sr 0.630 0.260 0.712
Sr2 Sr 0.000 0.000 0.000
Sr3 Sr 0.370 0.740 0.288
In1 In 0.675 0.350 0.333
In2 In 0.325 0.650 0.667
# ΔE to the lowest computed polymorph ... 0.033 eV/atom
# Space-group type ... C2/m (12)
# Formation energy from the elements ... -0.539 eV per atom
# DOS at the Fermi energy ... 1.367 states/eV/cell
# Calculated total energy ... -0.1262 hartree per atom

***

# LiRuBr2 | Alexandria via LeMat-Bulk | PBE | relaxed
data_LiRuBr2
_cell_length_a 5.240
_cell_length_b 5.240
_cell_length_c 5.240
_cell_angle_alpha 137.57
_cell_angle_beta 107.29
_cell_angle_gamma 87.98
_symmetry_space_group_name_H-M 'P 1'
_symmetry_Int_Tables_number 1
_symmetry_space_group_name_Hall 'P 1'
loop_
_atom_site_label
_atom_site_type_symbol
_atom_site_fract_x
_atom_site_fract_y
_atom_site_fract_z
Ru1 Ru 0.250 0.750 0.500
Br1 Br 0.466 0.466 0.000
Br2 Br 0.034 0.034 0.000
Li1 Li 0.750 0.250 0.500
# ΔE to the lowest computed polymorph ... 0.137 eV/atom
# Space-group type ... Immm (71)
# DOS at the Fermi energy ... 2.746 states/eV/cell
# Calculated total energy ... -0.1347 hartree per atom
# ΔE_f (raw) ... -0.03 eV/atom

***

# Ti5Fe4Tc | Alexandria via LeMat-Bulk | PBE | relaxed
data_Ti5Fe4Tc
_cell_length_a 2.987
_cell_length_b 2.987
_cell_length_c 14.952
_cell_angle_alpha 90.00
_cell_angle_beta 90.00
_cell_angle_gamma 90.00
_symmetry_space_group_name_H-M 'P 1'
_symmetry_Int_Tables_number 1
_symmetry_space_group_name_Hall 'P 1'
loop_
_atom_site_label
_atom_site_type_symbol
_atom_site_fract_x
_atom_site_fract_y
_atom_site_fract_z
Fe1 Fe 0.000 0.000 0.207
Fe2 Fe 0.000 0.000 0.793
Fe3 Fe 0.000 0.000 0.598
Fe4 Fe 0.000 0.000 0.402
Ti1 Ti 0.500 0.500 0.895
Ti2 Ti 0.500 0.500 0.105
Ti3 Ti 0.500 0.500 0.500
Ti4 Ti 0.500 0.500 0.698
Ti5 Ti 0.500 0.500 0.302
Tc1 Tc 0.000 0.000 0.000
# Space-group type ... P4/mmm (123)
# Formation energy from the elements ... -0.421 eV per atom
# DOS at the Fermi energy ... 3.138 states/eV/cell
# Calculated total energy ... -0.3230 hartree per atom

***

# AcLa5Y6 | Alexandria via LeMat-Bulk | PBE | relaxed
data_AcLa5Y6
_cell_length_a 6.403
_cell_length_b 6.401
_cell_length_c 11.984
_cell_angle_alpha 84.89
_cell_angle_beta 79.75
_cell_angle_gamma 59.99
_symmetry_space_group_name_H-M 'P 1'
_symmetry_Int_Tables_number 1
_symmetry_space_group_name_Hall 'P 1'
loop_
_atom_site_label
_atom_site_type_symbol
_atom_site_fract_x
_atom_site_fract_y
_atom_site_fract_z
Y1 Y 0.419 0.665 0.748
Y2 Y 0.916 0.665 0.252
Y3 Y 0.251 0.000 0.252
Y4 Y 0.749 0.000 0.748
Y5 Y 0.084 0.335 0.748
Y6 Y 0.581 0.335 0.252
La1 La 0.167 0.667 0.500
La2 La 0.333 0.333 0.000
La3 La 0.500 0.000 0.500
La4 La 0.667 0.667 0.000
La5 La 0.833 0.333 0.500
Ac1 Ac 0.000 0.000 0.000
# Space-group type ... C2/m (12)
# Formation energy from the elements ... 0.011 eV per atom
# DOS at the Fermi energy ... 13.916 states/eV/cell
# Calculated total energy ... -0.2064 hartree per atom

***

# DyHfOsAu | Alexandria via LeMat-Bulk | PBE | relaxed
data_DyHfOsAu
_cell_length_a 4.823
_cell_length_b 4.823
_cell_length_c 4.823
_cell_angle_alpha 60.00
_cell_angle_beta 60.00
_cell_angle_gamma 60.00
_symmetry_space_group_name_H-M 'P 1'
_symmetry_Int_Tables_number 1
_symmetry_space_group_name_Hall 'P 1'
loop_
_atom_site_label
_atom_site_type_symbol
_atom_site_fract_x
_atom_site_fract_y
_atom_site_fract_z
Dy1 Dy 0.500 0.500 0.500
Os1 Os 0.750 0.750 0.750
Au1 Au 0.250 0.250 0.250
Hf1 Hf 0.000 0.000 0.000
# Space-group type ... F-43m (216)
# Formation energy from the elements ... -0.421 eV per atom
# DOS at the Fermi energy ... 3.315 states/eV/cell
# Calculated total energy ... -0.2825 hartree per atom

***

# ZnReP2 | Alexandria via LeMat-Bulk | PBE | relaxed
data_ZnReP2
_cell_length_a 7.335
_cell_length_b 7.335
_cell_length_c 7.335
_cell_angle_alpha 24.78
_cell_angle_beta 24.78
_cell_angle_gamma 24.78
_symmetry_space_group_name_H-M 'P 1'
_symmetry_Int_Tables_number 1
_symmetry_space_group_name_Hall 'P 1'
loop_
_atom_site_label
_atom_site_type_symbol
_atom_site_fract_x
_atom_site_fract_y
_atom_site_fract_z
Zn1 Zn 0.750 0.750 0.750
P1 P 0.506 0.506 0.506
P2 P 0.994 0.994 0.994
Re1 Re 0.250 0.250 0.250
# Space-group type ... R-3m (166)
# Formation energy from the elements ... -0.008 eV per atom
# DOS at the Fermi energy ... 1.842 states/eV/cell
# Calculated total energy ... -0.2258 hartree per atom

***

# MnHgSe | Alexandria via LeMat-Bulk | PBE | relaxed
data_MnHgSe
_cell_length_a 3.507
_cell_length_b 6.656
_cell_length_c 6.598
_cell_angle_alpha 92.32
_cell_angle_beta 90.19
_cell_angle_gamma 105.14
_symmetry_space_group_name_H-M 'P 1'
_symmetry_Int_Tables_number 1
_symmetry_space_group_name_Hall 'P 1'
loop_
_atom_site_label
_atom_site_type_symbol
_atom_site_fract_x
_atom_site_fract_y
_atom_site_fract_z
Mn1 Mn 0.255 0.914 0.228
Mn2 Mn 0.038 0.477 0.164
Hg1 Hg 0.703 0.795 0.553
Hg2 Hg 0.916 0.233 0.794
Se1 Se 0.653 0.711 0.012
Se2 Se 0.445 0.287 0.339
# ΔE to the lowest computed polymorph ... 0.048 eV/atom
# Space-group type ... P1 (1)
# DOS at the Fermi energy ... 2.828 states/eV/cell
# Calculated total energy ... -0.1626 hartree per atom
# ΔE_f (raw) ... -0.11 eV/atom

***

# CrN2 | Alexandria via LeMat-Bulk | PBE | relaxed
data_CrN2
_cell_length_a 5.067
_cell_length_b 5.067
_cell_length_c 3.890
_cell_angle_alpha 69.93
_cell_angle_beta 69.93
_cell_angle_gamma 42.94
_symmetry_space_group_name_H-M 'P 1'
_symmetry_Int_Tables_number 1
_symmetry_space_group_name_Hall 'P 1'
loop_
_atom_site_label
_atom_site_type_symbol
_atom_site_fract_x
_atom_site_fract_y
_atom_site_fract_z
Cr1 Cr 0.354 0.354 0.969
Cr2 Cr 0.646 0.646 0.031
N1 N 0.145 0.145 0.133
N2 N 0.855 0.855 0.867
N3 N 0.602 0.602 0.661
N4 N 0.398 0.398 0.339
# Space-group type ... C2/m (12)
# DOS at the Fermi energy ... 3.010 states/eV/cell
# Calculated total energy ... -0.3101 hartree per atom
# ΔE_f (raw) ... 0.32 eV/atom

***

# Mg5Si6 | Alexandria via LeMat-Bulk | PBE | relaxed
data_Mg5Si6
_cell_length_a 5.554
_cell_length_b 5.826
_cell_length_c 12.624
_cell_angle_alpha 92.63
_cell_angle_beta 90.68
_cell_angle_gamma 88.02
_symmetry_space_group_name_H-M 'P 1'
_symmetry_Int_Tables_number 1
_symmetry_space_group_name_Hall 'P 1'
loop_
_atom_site_label
_atom_site_type_symbol
_atom_site_fract_x
_atom_site_fract_y
_atom_site_fract_z
Mg1 Mg 0.539 0.027 0.639
Mg2 Mg 0.315 0.621 0.118
Mg3 Mg 0.272 0.149 0.431
Mg4 Mg 0.277 0.638 0.379
Mg5 Mg 0.442 0.733 0.869
Mg6 Mg 0.772 0.406 0.452
Mg7 Mg 0.031 0.807 0.610
Mg8 Mg 0.661 0.212 0.872
Mg9 Mg 0.806 0.857 0.053
Mg10 Mg 0.295 0.119 0.066
Si1 Si 0.102 0.453 0.927
Si2 Si 0.798 0.374 0.067
Si3 Si 0.926 0.787 0.833
Si4 Si 0.987 0.350 0.244
Si5 Si 0.018 0.933 0.253
Si6 Si 0.076 0.275 0.637
Si7 Si 0.577 0.900 0.256
Si8 Si 0.732 0.499 0.708
Si9 Si 0.749 0.909 0.435
Si10 Si 0.188 0.118 0.808
Si11 Si 0.536 0.316 0.252
Si12 Si 0.399 0.519 0.588
# ΔE to the lowest computed polymorph ... 0.067 eV/atom
# Space-group type ... P1 (1)
# DOS at the Fermi energy ... 7.391 states/eV/cell
# Calculated total energy ... -0.1319 hartree per atom
# ΔE_f (raw) ... 0.09 eV/atom

***

Question: calculated total energy of number 10 (MnHgSe)?
Answer: -0.1626 hartree per atom